Here is a relaxed structure of Mg2TiMn from Alexandria via LeMat-Bulk. Energies are from PBE-GGA.

Summary:
Density: 3.6 g cm⁻³
Crystal system: tetragonal
ΔE_f: 0.77 eV/atom
Symmetry: I-42d (122)

Lattice parameters (Å, degrees): 7.410 7.410 5.839 50.61 50.61 90.00
Positions (direct):
Ti1 0.500 0.500 0.000
Ti2 0.250 0.750 0.500
Mg1 0.093 0.625 0.250
Mg2 0.657 0.125 0.250
Mg3 0.875 0.907 0.750
Mg4 0.375 0.343 0.750
Mn1 0.750 0.250 0.500
Mn2 0.000 0.000 0.000

=====

Here is a relaxed structure of CdHgP2 from Alexandria via LeMat-Bulk. Energies are from PBE-GGA.

Summary:
Density: 6.8 g cm⁻³
Crystal system: orthorhombic
ΔE_f: 0.20 eV/atom
Symmetry: Amm2 (38)

Lattice parameters (Å, degrees): 5.282 4.450 4.510 59.54 90.00 90.00
Positions (direct):
P1 0.500 0.062 0.156
P2 0.000 0.179 0.098
Cd1 0.000 0.499 0.438
Hg1 0.500 0.759 0.808

=====

Here is a relaxed structure of Li2Pm3YSe6 from Alexandria via LeMat-Bulk. Energies are from PBE-GGA.

Summary:
Density: 5.7 g cm⁻³
Crystal system: monoclinic
Formation energy without anion corrections: -167.90 kJ per mole of atoms
Symmetry: C2/m (12)

Lattice parameters (Å, degrees): 7.127 7.127 7.105 99.63 99.63 120.00
Positions (direct):
Y1 0.000 0.000 0.000
Se1 0.741 0.741 0.236
Se2 0.416 0.078 0.235
Se3 0.584 0.922 0.765
Se4 0.259 0.259 0.764
Se5 0.922 0.584 0.765
Se6 0.078 0.416 0.235
Pm1 0.833 0.167 0.500
Pm2 0.500 0.500 0.500
Pm3 0.167 0.833 0.500
Li1 0.667 0.333 0.000
Li2 0.333 0.667 0.000

=====

Here is a relaxed structure of PuCd2Sn from Alexandria via LeMat-Bulk. Energies are from PBE-GGA.

Summary:
Density: 9.4 g cm⁻³
Crystal system: tetragonal
ΔE_f: -0.02 eV/atom
Symmetry: P4/mmm (123)

Lattice parameters (Å, degrees): 3.955 3.955 6.633 90.00 90.00 90.00
Positions (direct):
Cd1 0.000 0.000 0.761
Cd2 0.000 0.000 0.239
Sn1 0.500 0.500 0.000
Pu1 0.500 0.500 0.500

=====

Here is a relaxed structure of KCd3Ga from Alexandria via LeMat-Bulk. Energies are from PBE-GGA.

Summary:
Density: 5.3 g cm⁻³
Crystal system: orthorhombic
ΔE_f: -0.07 eV/atom
Symmetry: Cmcm (63)

Lattice parameters (Å, degrees): 6.839 6.838 6.967 90.00 90.00 58.37
Positions (direct):
K1 0.529 0.731 0.552
K2 0.032 0.235 0.052
Cd1 0.525 0.238 0.802
Cd2 0.035 0.728 0.302
Cd3 0.035 0.728 0.802
Cd4 0.430 0.633 0.052
Cd5 0.525 0.238 0.302
Cd6 0.130 0.333 0.552
Ga1 0.901 0.104 0.552
Ga2 0.660 0.862 0.052

=====

Here is a relaxed structure of ScTl2Os from Alexandria via LeMat-Bulk. Energies are from PBE-GGA.

Summary:
Density: 13.1 g cm⁻³
Crystal system: tetragonal
ΔE_f: 0.38 eV/atom
Symmetry: P4/mmm (123)

Lattice parameters (Å, degrees): 4.246 4.246 4.527 90.00 90.00 89.99
Positions (direct):
Tl1 0.500 0.500 0.000
Tl2 0.000 0.000 0.000
Sc1 0.000 0.500 0.500
Os1 0.500 0.000 0.500

=====

Here is a relaxed structure of CaHg4Pb7 from Alexandria via LeMat-Bulk. Energies are from PBE-GGA.

Summary:
Density: 10.4 g cm⁻³
Crystal system: monoclinic
ΔE_f: 0.03 eV/atom
Symmetry: C2/m (12)

Lattice parameters (Å, degrees): 6.395 9.182 7.474 74.18 64.67 69.62
Positions (direct):
Pb1 0.263 0.980 0.493
Pb2 0.992 0.348 0.669
Pb3 0.008 0.652 0.331
Pb4 0.737 0.020 0.507
Pb5 0.735 0.353 0.176
Pb6 0.265 0.647 0.824
Pb7 0.500 0.000 0.000
Hg1 0.497 0.332 0.674
Hg2 0.254 0.321 0.171
Hg3 0.746 0.679 0.829
Hg4 0.503 0.668 0.326
Ca1 0.000 0.000 0.000

=====

Here is a relaxed structure of LiTbTeI from Alexandria via LeMat-Bulk. Energies are from PBE-GGA.

Summary:
Density: 5.8 g cm⁻³
Crystal system: trigonal
Formation energy without anion corrections: -106.86 kJ per mole of atoms
Symmetry: R3m (160)

Lattice parameters (Å, degrees): 4.273 4.273 7.962 74.44 74.44 60.00
Positions (direct):
Li1 0.134 0.134 0.599
Tb1 0.597 0.597 0.210
Te1 0.848 0.848 0.455
I1 0.351 0.351 0.947

=====

no.,spin magnetization (μB/atom)
1,0.0001
2,0.0000
3,0.0000
4,1.4998
5,0.0000
6,0.0000
7,0.0000
8,0.0000